Material: CoRhPbO4
Method: DFT, PBE with a Hubbard U
State: relaxed

It has space group Imma (No. 74), with a = 6.018 Å, b = 6.652 Å, c = 8.804 Å, α = 90.00°, β = 90.00° and γ = 90.00°. The distinct sites, in fractional coordinates, are Co at (0.250, 0.250, 0.250), Rh at (0.000, 0.000, 0.000), Pb at (0.000, 0.250, 0.642), O at (0.000, 0.063, 0.235) and O at (0.213, 0.250, 0.028).

As for the calculated total energy: -167.9 eV for the cell shown.